An optimized crystal structure of HgTe2Rh, computed with PBE.

Summary:
* density of states at the Fermi level: 4.63 states/eV/f.u.
* excess energy over the best structure of this formula in the dataset: 641 meV/atom
* electronic total energy: -3.12 eV/atom

a = 5.2328 Å, b = 5.2328 Å, c = 3.3181 Å
α = 90.00°, β = 90.00°, γ = 90.00°
Closest atoms and distances in Å follow each position.
Space group P4/mmm (No. 123)
One atom of each set of equivalent atoms:
Hg 0.0000 0.0000 0.0000 x1  8 Te 3.10, 2 Hg 3.32
Te 0.0000 0.5000 0.5000 x2  4 Hg 3.10, 4 Rh 3.10, 2 Te 3.32
Rh 0.5000 0.5000 0.0000 x1  8 Te 3.10, 2 Rh 3.32